Record 1
VASP calculation (PBE) on an optimized crystal structure of Tb2PmSmN4.

Calculated total energy in eV/atom: -8.058
DOS at the Fermi energy in states/eV per atom: 0.03
Space-group type: No. 10
V in Å³ per cell: 126.5
Total moment in μB/f.u.: 0.00

Cell lengths 6.1461, 3.5506, 6.1489 Å; angles 90.00, 109.42, 90.00 degrees
Last column: nearest neighbours and their distance in Å.
Fractional positions:
Tb1 0.0000 0.0000 0.0000  6 N 2.49
Tb2 0.5000 0.5000 0.0000  6 N 2.49
Pm1 0.0000 0.5000 0.5000  6 N 2.53
Sm1 0.5000 0.0000 0.5000  6 N 2.53
N1 0.2487 0.5000 0.2439  3 Tb 2.49, 2 Sm 2.53, 1 Pm 2.53
N2 0.2529 0.0000 0.7566  3 Tb 2.49, 1 Sm 2.53, 2 Pm 2.53
N3 0.7471 0.0000 0.2434  3 Tb 2.49, 1 Sm 2.53, 2 Pm 2.53
N4 0.7513 0.5000 0.7561  3 Tb 2.49, 2 Sm 2.53, 1 Pm 2.53

Record 2
VASP calculation (PBE) on an optimized crystal structure of SrYSi2.

DOS at the Fermi energy in states/eV per atom: 0.57
Space-group type: No. 10
Excess energy over the best structure of this formula in the dataset in kJ/mol of formula units: 0
V in Å³ per cell: 100.6
Total moment in μB/f.u.: 0.01

Cell lengths 3.8499, 3.8756, 6.7400 Å; angles 90.00, 90.14, 90.00 degrees
Last column: nearest neighbours and their distance in Å.
Fractional positions:
Sr1 0.0000 0.0000 0.0000  2 Y 3.37, 8 Si 3.48-3.49
Y1 0.0000 0.0000 0.5000  8 Si 2.99
Si1 0.4991 0.5000 0.3204  1 Si 2.42
Si2 0.5009 0.5000 0.6796  1 Si 2.42